(1)
The following is a GGA-PBE calculation of crystalline Na2AsIr2S6 at its relaxed geometry, from Alexandria.

Output
Its total energy is -5.0772 eV/atom. Its formation energy (no corrections) is -0.55 eV/atom.

Lattice parameters (Å, degrees): 6.228 10.888 6.927 90.00 107.22 90.00
Space group C2/m (No. 12)
Asymmetric unit:
Na1 0.000 0.162 0.000 [4 per cell]
As1 0.000 0.000 0.500 [2 per cell]
Ir1 0.000 0.333 0.500 [4 per cell]
S1 0.215 0.500 0.691 [4 per cell]
S2 0.236 0.175 0.690 [8 per cell]


(2)
The following is a GGA-PBE calculation of crystalline NaAs2IrSe at its relaxed geometry, from Alexandria.

Output
Its total energy is -3.0124 eV/atom. Its formation energy (no corrections) is 1.58 eV/atom.

Lattice parameters (Å, degrees): 4.789 4.789 4.855 90.00 90.00 90.00
Space group P4/mmm (No. 123)
Asymmetric unit:
Na1 0.000 0.000 0.000 [1 per cell]
As1 0.000 0.500 0.000 [2 per cell]
Ir1 0.500 0.500 0.500 [1 per cell]
Se1 0.000 0.000 0.500 [1 per cell]


(3)
The following is a GGA-PBE calculation of crystalline NaAs2IrSe at its relaxed geometry, from Alexandria.

Output
Its total energy is -4.4540 eV/atom. Its formation energy (no corrections) is 0.14 eV/atom.

Lattice parameters (Å, degrees): 4.697 4.697 5.725 90.00 90.00 90.00
Space group P4/mmm (No. 123)
Asymmetric unit:
Na1 0.000 0.000 0.000 [1 per cell]
As1 0.000 0.500 0.500 [2 per cell]
Ir1 0.500 0.500 0.500 [1 per cell]
Se1 0.500 0.500 0.000 [1 per cell]


(4)
The following is a GGA-PBE calculation of crystalline NaTcAs2Ir at its relaxed geometry, from Alexandria.

Output
Its total energy is -6.2707 eV/atom. For the energy of formation from the pure elements, the calculation gives -0.3017 eV per atom.

Lattice parameters (Å, degrees): 4.182 4.182 10.954 90.00 90.00 90.00
Space group I-4m2 (No. 119)
Asymmetric unit:
Na1 0.000 0.000 0.000 [2 per cell]
Tc1 0.000 0.500 0.250 [2 per cell]
As1 0.000 0.000 0.368 [4 per cell]
Ir1 0.000 0.500 0.750 [2 per cell]


(5)
The following is a GGA-PBE calculation of crystalline Na2AsIrW at its relaxed geometry, from Alexandria.

Output
Its total energy is -4.4770 eV/atom. For the energy of formation from the pure elements, the calculation gives 1.3434 eV per atom.

Lattice parameters (Å, degrees): 4.770 4.770 4.789 90.00 90.00 90.00
Space group P4/mmm (No. 123)
Asymmetric unit:
Na1 0.000 0.500 0.000 [2 per cell]
As1 0.000 0.000 0.000 [1 per cell]
Ir1 0.500 0.500 0.500 [1 per cell]
W1 0.000 0.000 0.500 [1 per cell]


(6)
The following is a GGA-PBE calculation of crystalline Na2ZnAsIr at its relaxed geometry, from Alexandria.

Output
Its total energy is -2.7087 eV/atom. For the energy of formation from the pure elements, the calculation gives 0.7758 eV per atom.

Lattice parameters (Å, degrees): 5.426 5.426 4.797 90.00 90.00 90.00
Space group P4/mmm (No. 123)
Asymmetric unit:
Na1 0.000 0.500 0.000 [2 per cell]
Zn1 0.000 0.000 0.500 [1 per cell]
As1 0.500 0.500 0.500 [1 per cell]
Ir1 0.000 0.000 0.000 [1 per cell]


(7)
The following is a GGA-PBE calculation of crystalline Nb2AsIr2 at its relaxed geometry, from Alexandria.

Output
Its total energy is -8.7718 eV/atom. For the energy of formation from the pure elements, the calculation gives -0.2696 eV per atom.

Lattice parameters (Å, degrees): 7.767 7.767 2.904 90.00 90.00 90.00
Space group P4/mbm (No. 127)
Asymmetric unit:
Nb1 0.160 0.340 0.000 [4 per cell]
As1 0.000 0.000 0.500 [2 per cell]
Ir1 0.133 0.633 0.500 [4 per cell]


(8)
The following is a GGA-PBE calculation of crystalline NbAsIr3 at its relaxed geometry, from Alexandria.

Output
Its total energy is -7.2338 eV/atom. For the energy of formation from the pure elements, the calculation gives 1.0267 eV per atom.

Lattice parameters (Å, degrees): 4.548 4.548 4.548 90.00 90.00 90.00
Space group Pm-3m (No. 221)
Asymmetric unit:
Nb1 0.000 0.000 0.000 [1 per cell]
As1 0.500 0.500 0.500 [1 per cell]
Ir1 0.000 0.500 0.500 [3 per cell]


One value per record, in order, for spin magnetization: 0.0, 0.0, 0.0, 0.0, 0.0, 2.4, 0.0, 2.9 Bohr magnetons per cell.
One value per record, in order, for theoretical density: 5.16, 6.62, 5.84, 8.03, 7.57, 4.45, 12.23, 13.14 g/cm3.